# TiNbIn2

An optimized crystal structure of TiNbIn2 (PBE, Alexandria via LeMat-Bulk).

Computed properties:
- DFT formation energy: 349.8 meV per atom
- Polymorph energy (0 for the lowest one): 417 meV/atom

Cell lengths 6.137, 6.137, 6.137 Å; angles 102.89, 102.89, 123.63 degrees
Sites, in units of the cell vectors:
Ti: 0.000 0.000 0.000
Ti: 0.750 0.250 0.500
Nb: 0.250 0.750 0.500
Nb: 0.500 0.500 0.000
In: 0.120 0.125 0.495
In: 0.375 0.880 0.005
In: 0.630 0.625 0.505
In: 0.875 0.370 0.995